# 1
## Li2BeMo (PBE-GGA)

Data for a relaxed Li2BeMo crystal.

It has space group Cmmm (No. 65), with a = 2.9119 Å, b = 4.1465 Å, c = 9.1921 Å, α = 90.00°, β = 90.00° and γ = 90.00°. Symmetry generates all atoms from Li at (0.0000, 0.0000, 0.2320), Be at (0.0000, 0.5000, 0.0000) and Mo at (0.0000, 0.5000, 0.5000).

The total energy comes out at -33.83 eV per cell. The value obtained for the density of states at the Fermi level is 0.6806 states/eV per atom.

=====

# 2
## ZrPaMnS6 (PBE-GGA)

Data for a relaxed ZrPaMnS6 crystal.

It has space group P312 (No. 149), with a = 6.2644 Å, b = 6.2644 Å, c = 5.9801 Å, α = 90.00°, β = 90.00° and γ = 120.00°. Symmetry generates all atoms from Zr at (0.0000, 0.0000, 0.0000), Pa at (0.3333, 0.6667, 0.5000), Mn at (0.6667, 0.3333, 0.0000) and S at (0.3487, 0.0173, 0.7633).

The total energy comes out at -61.97 eV per cell. The value obtained for the density of states at the Fermi level is 0.5642 states/eV per atom. The formation energy from raw total energies is -1.110 eV/atom.

=====

# 3
## TlH2Br (PBE-GGA)

Data for a relaxed TlH2Br crystal.

It has space group I-42d (No. 122), with a = 5.9808 Å, b = 5.9808 Å, c = 8.3489 Å, α = 90.00°, β = 90.00° and γ = 90.00°. Symmetry generates all atoms from Tl at (0.0000, 0.0000, 0.0000), H at (0.0823, 0.2500, 0.1250) and Br at (0.0000, 0.0000, 0.5000).

The total energy comes out at -37.98 eV per cell. The value obtained for the density of states at the Fermi level is 0.4914 states/eV per atom.

=====

# 4
## TlGaSnS3 (PBE-GGA)

Data for a relaxed TlGaSnS3 crystal.

It has space group P2_1/m (No. 11), with a = 9.4249 Å, b = 3.9754 Å, c = 9.6619 Å, α = 90.00°, β = 97.70° and γ = 90.00°. Symmetry generates all atoms from Tl at (0.1673, 0.2500, 0.1617), Ga at (0.0879, 0.2500, 0.6126), Sn at (0.3869, 0.7500, 0.8405), S at (0.1499, 0.2500, 0.8393), S at (0.1535, 0.7500, 0.4915) and S at (0.3956, 0.7500, 0.1084).

The total energy comes out at -49.39 eV per cell. The value obtained for the density of states at the Fermi level is 0.0118 states/eV per atom. The formation energy from raw total energies is -0.486 eV/atom.

=====

# 5
## CoReNi2 (PBE-GGA)

Data for a relaxed CoReNi2 crystal.

It has space group P4/mmm (No. 123), with a = 2.5757 Å, b = 2.5757 Å, c = 7.2445 Å, α = 90.00°, β = 90.00° and γ = 90.00°. Symmetry generates all atoms from Co at (0.0000, 0.0000, 0.0000), Re at (0.0000, 0.0000, 0.5000) and Ni at (0.5000, 0.5000, 0.2381).

The total energy comes out at -30.84 eV per cell. The value obtained for the density of states at the Fermi level is 1.4691 states/eV per atom.